! GdZnAg4 GGA-PBE relaxed; values from VASP
! Formation enthalpy at 0 K, eV/atom: -0.11
! Total moment, μB per atom: 1.223
! SG: No. 216
! Density of states at the Fermi level, states/eV/atom: 1.07
! Crystal system: cubic
&SYSTEM
  ibrav = 0, nat = 6, ntyp = 3
/
ATOMIC_SPECIES
Gd 157.25 Gd.upf
Zn 65.41 Zn.upf
Ag 107.87 Ag.upf
ATOMIC_POSITIONS crystal
Gd 0.000 0.000 0.000
Zn 0.250 0.250 0.250
Ag 0.126 0.625 0.625
Ag 0.625 0.126 0.625
Ag 0.625 0.625 0.126
Ag 0.625 0.625 0.625
CELL_PARAMETERS angstrom
0.000 3.926 3.926
3.926 0.000 3.926
3.926 3.926 0.000